# 1
# PrMgHgH | the Alexandria database | PBE | relaxed
# Electronic total energy in eV for the cell shown: -23.80
# DOS(E_F) in states/eV/atom: 0.2544
# Symmetry: No. 129
# V in Å³ per atom: 20.33
data_PrMgHgH
_symmetry_space_group_name_H-M 'P 1'
_symmetry_Int_Tables_number 1
_cell_length_a 4.326
_cell_length_b 4.326
_cell_length_c 8.692
_cell_angle_alpha 90.00
_cell_angle_beta 90.00
_cell_angle_gamma 90.00
loop_
_symmetry_equiv_pos_as_xyz
'x,y,z'
loop_
_atom_site_label
_atom_site_type_symbol
_atom_site_fract_x
_atom_site_fract_y
_atom_site_fract_z
Pr1 Pr 0.000 0.500 0.864
Pr2 Pr 0.500 0.000 0.136
Mg1 Mg 0.000 0.000 0.500
Mg2 Mg 0.500 0.500 0.500
Hg1 Hg 0.500 0.000 0.723
Hg2 Hg 0.000 0.500 0.277
H1 H 0.500 0.500 0.000
H2 H 0.000 0.000 0.000



# 2
# GePbC2 | the Alexandria database | PBE | relaxed
# DOS(E_F) in states/eV/atom: 0.7516
# Offset from the most stable computed form in meV per atom: 1280.4
# Symmetry: No. 225
# V in Å³ per atom: 14.74
data_GePbC2
_symmetry_space_group_name_H-M 'P 1'
_symmetry_Int_Tables_number 1
_cell_length_a 4.368
_cell_length_b 4.368
_cell_length_c 4.368
_cell_angle_alpha 60.00
_cell_angle_beta 60.00
_cell_angle_gamma 60.00
loop_
_symmetry_equiv_pos_as_xyz
'x,y,z'
loop_
_atom_site_label
_atom_site_type_symbol
_atom_site_fract_x
_atom_site_fract_y
_atom_site_fract_z
Pb1 Pb 0.500 0.500 0.500
Ge1 Ge 0.000 0.000 0.000
C1 C 0.250 0.250 0.250
C2 C 0.750 0.750 0.750



# 3
# Rb4HgF6 | the Alexandria database | PBE | relaxed
# Uncorrected formation energy in eV/atom: -2.371
# DOS(E_F) in states/eV/atom: 0.0000
# Symmetry: No. 167
# V in Å³ per atom: 21.61
data_Rb4HgF6
_symmetry_space_group_name_H-M 'P 1'
_symmetry_Int_Tables_number 1
_cell_length_a 7.805
_cell_length_b 7.805
_cell_length_c 7.805
_cell_angle_alpha 90.41
_cell_angle_beta 90.41
_cell_angle_gamma 89.59
loop_
_symmetry_equiv_pos_as_xyz
'x,y,z'
loop_
_atom_site_label
_atom_site_type_symbol
_atom_site_fract_x
_atom_site_fract_y
_atom_site_fract_z
Rb1 Rb 0.384 0.116 0.250
Rb2 Rb 0.884 0.250 0.384
Rb3 Rb 0.250 0.616 0.116
Rb4 Rb 0.250 0.250 0.750
Rb5 Rb 0.750 0.750 0.250
Rb6 Rb 0.750 0.384 0.884
Rb7 Rb 0.116 0.750 0.616
Rb8 Rb 0.616 0.884 0.750
Hg1 Hg 0.500 0.500 0.500
Hg2 Hg 0.000 0.000 0.000
F1 F 0.712 0.058 0.074
F2 F 0.074 0.288 0.058
F3 F 0.574 0.442 0.212
F4 F 0.942 0.074 0.712
F5 F 0.558 0.212 0.574
F6 F 0.212 0.426 0.442
F7 F 0.788 0.574 0.558
F8 F 0.442 0.788 0.426
F9 F 0.058 0.926 0.288
F10 F 0.426 0.558 0.788
F11 F 0.926 0.712 0.942
F12 F 0.288 0.942 0.926



# 4
# PuNpSbTe | the Alexandria database | PBE | relaxed
# Uncorrected formation energy in eV/atom: -0.563
# DOS(E_F) in states/eV/atom: 3.4359
# Symmetry: No. 216
# V in Å³ per atom: 26.53
data_PuNpSbTe
_symmetry_space_group_name_H-M 'P 1'
_symmetry_Int_Tables_number 1
_cell_length_a 5.314
_cell_length_b 5.314
_cell_length_c 5.314
_cell_angle_alpha 60.00
_cell_angle_beta 60.00
_cell_angle_gamma 60.00
loop_
_symmetry_equiv_pos_as_xyz
'x,y,z'
loop_
_atom_site_label
_atom_site_type_symbol
_atom_site_fract_x
_atom_site_fract_y
_atom_site_fract_z
Np1 Np 0.500 0.500 0.500
Sb1 Sb 0.750 0.750 0.750
Te1 Te 0.250 0.250 0.250
Pu1 Pu 0.000 0.000 0.000